Record 1
Compound: Mg2MnMo
Source: Alexandria via LeMat-Bulk
Functional: GGA-PBE
Structure: optimized geometry

For the total energy, the calculation gives -5.36 eV/atom. The energy above the most stable polymorph in this dataset is 275 meV per atom. The value obtained for the formation energy is 437 meV per atom.

The structure belongs to space group R-3m (No. 166, hexagonal axes); the cell edges are 2.8611, 2.8611 and 29.0347 Å and the angles 90.00°, 90.00° and 120.00°. The inequivalent atoms are Mg at (0.0000, 0.0000, 0.2489), Mn at (0.0000, 0.0000, 0.5000) and Mo at (0.0000, 0.0000, 0.0000).



Record 2
Compound: MgMn2Mo
Source: Alexandria via LeMat-Bulk
Functional: GGA-PBE
Structure: optimized geometry

For the total energy, the calculation gives -7.37 eV/atom. The value obtained for the formation energy is 319 meV per atom.

The structure belongs to space group P2/m (No. 10); the cell edges are 2.7055, 3.9785 and 5.6590 Å and the angles 90.00°, 101.35° and 90.00°. The inequivalent atoms are Mg at (0.0000, 0.0000, 0.0000), Mn at (0.4380, 0.5000, 0.7263) and Mo at (0.0000, 0.0000, 0.5000).



Record 3
Compound: MgMn2Mo
Source: Alexandria via LeMat-Bulk
Functional: GGA-PBE
Structure: optimized geometry

For the total energy, the calculation gives -7.31 eV/atom. The value obtained for the formation energy is 377 meV per atom.

The structure belongs to space group R-3m (No. 166, hexagonal axes); the cell edges are 2.9069, 2.9069 and 25.9861 Å and the angles 90.00°, 90.00° and 120.00°. The inequivalent atoms are Mg at (0.0000, 0.0000, 0.0000), Mn at (0.0000, 0.0000, 0.2425) and Mo at (0.0000, 0.0000, 0.5000).



Record 4
Compound: Mg2MnMo
Source: Alexandria via LeMat-Bulk
Functional: GGA-PBE
Structure: optimized geometry

For the total energy, the calculation gives -5.40 eV/atom. The energy above the most stable polymorph in this dataset is 238 meV per atom. The value obtained for the formation energy is 400 meV per atom.

The structure belongs to space group Immm (No. 71); the cell edges are 3.3667, 4.2317 and 9.2433 Å and the angles 90.00°, 90.00° and 90.00°. The inequivalent atoms are Mg at (0.0000, 0.0000, 0.2430), Mn at (0.0000, 0.5000, 0.5000) and Mo at (0.0000, 0.5000, 0.0000).



Record 5
Compound: MgMn2Mo
Source: Alexandria via LeMat-Bulk
Functional: GGA-PBE
Structure: optimized geometry

For the total energy, the calculation gives -7.44 eV/atom. The value obtained for the formation energy is 251 meV per atom.

The structure belongs to space group P4mm (No. 99); the cell edges are 2.7176, 2.7176 and 7.5815 Å and the angles 90.00°, 90.00° and 90.00°. The inequivalent atoms are Mg at (0.0000, 0.0000, 0.0000), Mn at (0.0000, 0.0000, 0.4289), Mn at (0.5000, 0.5000, 0.2671) and Mo at (0.5000, 0.5000, 0.6926).



Record 6
Compound: Mg2MnMo
Source: Alexandria via LeMat-Bulk
Functional: GGA-PBE
Structure: optimized geometry

For the total energy, the calculation gives -5.40 eV/atom. The energy above the most stable polymorph in this dataset is 235 meV per atom. The value obtained for the formation energy is 397 meV per atom.

The structure belongs to space group Cmmm (No. 65); the cell edges are 5.5420, 8.9368 and 2.7452 Å and the angles 90.00°, 90.00° and 90.00°. The inequivalent atoms are Mg at (0.2500, 0.2500, 0.0000), Mn at (0.0000, 0.0000, 0.5000) and Mo at (0.0000, 0.5000, 0.5000).



Record 7
Compound: MgMn4Mo
Source: Alexandria via LeMat-Bulk
Functional: GGA-PBE
Structure: optimized geometry

For the total energy, the calculation gives -8.12 eV/atom. The value obtained for the formation energy is 69 meV per atom.

The structure belongs to space group F-43m (No. 216); the cell edges are 6.7394, 6.7394 and 6.7394 Å and the angles 90.00°, 90.00° and 90.00°. The inequivalent atoms are Mg at (0.0000, 0.0000, 0.0000), Mn at (0.1255, 0.1255, 0.3745) and Mo at (0.2500, 0.2500, 0.7500).



Record 8
Compound: Mg2MnMo
Source: Alexandria via LeMat-Bulk
Functional: GGA-PBE
Structure: optimized geometry

For the total energy, the calculation gives -4.92 eV/atom. The energy above the most stable polymorph in this dataset is 715 meV per atom. The value obtained for the formation energy is 877 meV per atom.

The structure belongs to space group Fm-3m (No. 225); the cell edges are 6.3364, 6.3364 and 6.3364 Å and the angles 90.00°, 90.00° and 90.00°. The inequivalent atoms are Mg at (0.2500, 0.2500, 0.2500), Mn at (0.0000, 0.0000, 0.0000) and Mo at (0.0000, 0.0000, 0.5000).



Record 9
Compound: MgMn2Mo
Source: Alexandria via LeMat-Bulk
Functional: GGA-PBE
Structure: optimized geometry

For the total energy, the calculation gives -7.43 eV/atom. The value obtained for the formation energy is 265 meV per atom.

The structure belongs to space group Imm2 (No. 44); the cell edges are 2.8487, 4.4380 and 8.9110 Å and the angles 90.00°, 90.00° and 90.00°. The inequivalent atoms are Mg at (0.0000, 0.0000, 0.0000), Mn at (0.0000, 0.0000, 0.5228), Mn at (0.0000, 0.5000, 0.2349) and Mo at (0.0000, 0.5000, 0.7785).



Record 10
Compound: MgMn2Mo2
Source: Alexandria via LeMat-Bulk
Functional: GGA-PBE
Structure: optimized geometry

For the total energy, the calculation gives -8.06 eV/atom. The value obtained for the formation energy is 257 meV per atom.

The structure belongs to space group P4/mbm (No. 127); the cell edges are 7.1818, 7.1818 and 2.8541 Å and the angles 90.00°, 90.00° and 90.00°. The inequivalent atoms are Mg at (0.0000, 0.0000, 0.0000), Mn at (0.1387, 0.3613, 0.0000) and Mo at (0.1576, 0.6576, 0.5000).



Record 11
Compound: Mg2MnMo
Source: Alexandria via LeMat-Bulk
Functional: GGA-PBE
Structure: optimized geometry

For the total energy, the calculation gives -5.44 eV/atom. The energy above the most stable polymorph in this dataset is 195 meV per atom. The value obtained for the formation energy is 357 meV per atom.

The structure belongs to space group P4/mmm (No. 123); the cell edges are 2.7885, 2.7885 and 8.7803 Å and the angles 90.00°, 90.00° and 90.00°. The inequivalent atoms are Mg at (0.0000, 0.0000, 0.2474), Mn at (0.5000, 0.5000, 0.0000) and Mo at (0.5000, 0.5000, 0.5000).



Record 12
Compound: Mg14MnMo
Source: Alexandria via LeMat-Bulk
Functional: GGA-PBE
Structure: optimized geometry

For the total energy, the calculation gives -2.50 eV/atom. The energy above the most stable polymorph in this dataset is 13 meV per atom. The value obtained for the formation energy is 146 meV per atom.

The structure belongs to space group P-6m2 (No. 187); the cell edges are 6.2425, 6.2425 and 9.9615 Å and the angles 90.00°, 90.00° and 120.00°. The inequivalent atoms are Mg at (0.0000, 0.0000, 0.2491), Mg at (0.0152, 0.5076, 0.2544), Mg at (0.3346, 0.1673, 0.5000), Mg at (0.3356, 0.1678, 0.0000), Mn at (0.3333, 0.6667, 0.0000) and Mo at (0.3333, 0.6667, 0.5000).



Record 13
Compound: Mg2MnMoN4
Source: Alexandria via LeMat-Bulk
Functional: GGA-PBE
Structure: optimized geometry

The uncorrected formation energy is -4.564 eV/f.u. For the total energy, the calculation gives -7.63 eV/atom.

The structure belongs to space group P2/m (No. 10); the cell edges are 5.0927, 2.9691 and 5.3759 Å and the angles 90.00°, 108.41° and 90.00°. The inequivalent atoms are Mg at (0.0000, 0.0000, 0.0000), Mg at (0.5000, 0.5000, 0.0000), Mn at (0.0000, 0.5000, 0.5000), Mo at (0.5000, 0.0000, 0.5000), N at (0.2378, 0.0000, 0.7318) and N at (0.2472, 0.5000, 0.2600).



Record 14
Compound: NaMgMnMo2
Source: Alexandria via LeMat-Bulk
Functional: GGA-PBE
Structure: optimized geometry

For the total energy, the calculation gives -5.74 eV/atom. The value obtained for the formation energy is 1007 meV per atom.

The structure belongs to space group P4/mmm (No. 123); the cell edges are 4.4809, 4.4809 and 5.0779 Å and the angles 90.00°, 90.00° and 90.00°. The inequivalent atoms are Na at (0.0000, 0.0000, 0.0000), Mg at (0.5000, 0.5000, 0.0000), Mn at (0.5000, 0.5000, 0.5000) and Mo at (0.0000, 0.5000, 0.5000).